Run w
First-principles (GGA-PBE) data for a geometry-optimized ScTaOs2 structure, as listed in OQMD via LeMat-Bulk.

Calculated values
* calculated volume: 16.183 Å³ per atom
* magnetic moment: 0.0 Bohr magnetons per cell

a = 6.3737 Å, b = 6.3737 Å, c = 6.3737 Å
α = 90.00°, β = 90.00°, γ = 90.00°
Space group Fm-3m (No. 225)
One atom of each set of equivalent atoms:
Sc 0.0000 0.0000 0.0000 (multiplicity 4)
Ta 0.0000 0.0000 0.5000 (multiplicity 4)
Os 0.2500 0.2500 0.2500 (multiplicity 8)

Run x
First-principles (GGA-PBE) data for a geometry-optimized ScTaOs2 structure, as listed in OQMD via LeMat-Bulk.

Calculated values
* calculated volume: 16.351 Å³ per atom
* magnetic moment: 0.0 Bohr magnetons per cell

a = 3.1874 Å, b = 3.1874 Å, c = 6.4377 Å
α = 90.00°, β = 90.00°, γ = 90.00°
Space group P4/mmm (No. 123)
One atom of each set of equivalent atoms:
Sc 0.0000 0.0000 0.0000 (multiplicity 1)
Ta 0.0000 0.0000 0.5000 (multiplicity 1)
Os 0.5000 0.5000 0.2601 (multiplicity 2)

Energies relative to the most stable structure are run w 0; run x 14, reported in meV per atom.

Run w
First-principles (GGA-PBE) data for a geometry-optimized ScTcOs structure, as listed in OQMD via LeMat-Bulk.

Calculated values
* calculated volume: 18.247 Å³ per atom
* magnetic moment: 2.8 Bohr magnetons per cell

a = 6.0273 Å, b = 6.0273 Å, c = 6.0273 Å
α = 90.00°, β = 90.00°, γ = 90.00°
Space group F-43m (No. 216)
One atom of each set of equivalent atoms:
Sc 0.0000 0.0000 0.0000 (multiplicity 4)
Tc 0.2500 0.2500 0.2500 (multiplicity 4)
Os 0.2500 0.2500 0.7500 (multiplicity 4)

Run x
First-principles (GGA-PBE) data for a geometry-optimized ScTcOs structure, as listed in OQMD via LeMat-Bulk.

Calculated values
* calculated volume: 15.616 Å³ per atom
* magnetic moment: 0.0 Bohr magnetons per cell

a = 3.1864 Å, b = 3.1864 Å, c = 9.2282 Å
α = 90.00°, β = 90.00°, γ = 90.00°
Space group I4mm (No. 107)
One atom of each set of equivalent atoms:
Sc 0.0000 0.0000 0.0000 (multiplicity 2)
Tc 0.0000 0.0000 0.3271 (multiplicity 2)
Os 0.0000 0.0000 0.6719 (multiplicity 2)

Run y
First-principles (GGA-PBE) data for a geometry-optimized ScTcOs structure, as listed in OQMD via LeMat-Bulk.

Calculated values
* calculated volume: 15.622 Å³ per atom
* magnetic moment: 0.0 Bohr magnetons per cell

a = 3.1836 Å, b = 3.1836 Å, c = 9.2480 Å
α = 90.00°, β = 90.00°, γ = 90.00°
Space group P4/nmm (No. 129, origin choice 2)
One atom of each set of equivalent atoms:
Sc 0.2500 0.2500 0.2505 (multiplicity 2)
Tc 0.2500 0.2500 0.5759 (multiplicity 2)
Os 0.2500 0.2500 0.9211 (multiplicity 2)

Energies relative to the most stable structure are run w 1211; run x 0; run y 20, reported in meV per atom.

Run w
First-principles (GGA-PBE) data for a geometry-optimized Zr3Sc3Te2Os structure, as listed in OQMD via LeMat-Bulk.

Calculated values
* calculated volume: 22.054 Å³ per atom
* magnetic moment: 0.0 Bohr magnetons per cell

a = 7.8686 Å, b = 7.8686 Å, c = 3.7016 Å
α = 90.00°, β = 90.00°, γ = 120.00°
Space group P-62m (No. 189)
One atom of each set of equivalent atoms:
Zr 0.0000 0.2486 0.0000 (multiplicity 3)
Sc 0.0000 0.6046 0.5000 (multiplicity 3)
Te 0.3333 0.6667 0.0000 (multiplicity 2)
Os 0.0000 0.0000 0.5000 (multiplicity 1)

Run x
First-principles (GGA-PBE) data for a geometry-optimized Zr3Sc3Te2Os structure, as listed in OQMD via LeMat-Bulk.

Calculated values
* calculated volume: 21.543 Å³ per atom
* magnetic moment: 0.0 Bohr magnetons per cell

a = 7.7479 Å, b = 7.7479 Å, c = 3.7294 Å
α = 90.00°, β = 90.00°, γ = 120.00°
Space group P-62m (No. 189)
One atom of each set of equivalent atoms:
Zr 0.0000 0.6013 0.0000 (multiplicity 3)
Sc 0.0000 0.2420 0.5000 (multiplicity 3)
Te 0.3333 0.6667 0.5000 (multiplicity 2)
Os 0.0000 0.0000 0.0000 (multiplicity 1)

Energies relative to the most stable structure are run w 0; run x 61, reported in meV per atom.

Run w
First-principles (GGA-PBE) data for a geometry-optimized ZrScOs2 structure, as listed in OQMD via LeMat-Bulk.

Calculated values
* calculated volume: 17.071 Å³ per atom
* magnetic moment: 0.0 Bohr magnetons per cell

a = 6.4883 Å, b = 6.4883 Å, c = 6.4883 Å
α = 90.00°, β = 90.00°, γ = 90.00°
Space group Fm-3m (No. 225)
One atom of each set of equivalent atoms:
Zr 0.0000 0.0000 0.0000 (multiplicity 4)
Sc 0.0000 0.0000 0.5000 (multiplicity 4)
Os 0.2500 0.2500 0.2500 (multiplicity 8)

Run x
First-principles (GGA-PBE) data for a geometry-optimized ZrScOs2 structure, as listed in OQMD via LeMat-Bulk.

Calculated values
* calculated volume: 16.778 Å³ per atom
* magnetic moment: 0.0 Bohr magnetons per cell

a = 6.2366 Å, b = 6.5488 Å, c = 3.2865 Å
α = 90.00°, β = 90.00°, γ = 90.00°
Space group Cmmm (No. 65)
One atom of each set of equivalent atoms:
Zr 0.0000 0.0000 0.0000 (multiplicity 2)
Sc 0.0000 0.5000 0.0000 (multiplicity 2)
Os 0.2500 0.2500 0.5000 (multiplicity 4)

Run y
First-principles (GGA-PBE) data for a geometry-optimized ZrScOs2 structure, as listed in OQMD via LeMat-Bulk.

Calculated values
* calculated volume: 17.087 Å³ per atom
* magnetic moment: 0.0 Bohr magnetons per cell

a = 4.5857 Å, b = 4.5857 Å, c = 3.2503 Å
α = 90.00°, β = 90.00°, γ = 90.00°
Space group P4/mmm (No. 123)
One atom of each set of equivalent atoms:
Zr 0.0000 0.0000 0.0000 (multiplicity 1)
Sc 0.5000 0.5000 0.0000 (multiplicity 1)
Os 0.0000 0.5000 0.5000 (multiplicity 2)

Energies relative to the most stable structure are run w 0; run x 32; run y 6, reported in meV per atom.

Run w
First-principles (GGA-PBE) data for a geometry-optimized Os2Se structure, as listed in OQMD via LeMat-Bulk.

Calculated values
* calculated volume: 54.965 Å³ per atom
* magnetic moment: 47.7 Bohr magnetons per cell

a = 10.9673 Å, b = 10.9673 Å, c = 10.9673 Å
α = 90.00°, β = 90.00°, γ = 90.00°
Space group Fd-3m (No. 227, origin choice 2)
One atom of each set of equivalent atoms:
Os 0.0000 0.0000 0.0000 (multiplicity 16)
Se 0.1250 0.1250 0.1250 (multiplicity 8)

Run x
First-principles (GGA-PBE) data for a geometry-optimized Os2Se structure, as listed in OQMD via LeMat-Bulk.

Calculated values
* calculated volume: 16.894 Å³ per atom
* magnetic moment: 1.3 Bohr magnetons per cell

a = 7.4015 Å, b = 7.4015 Å, c = 7.4015 Å
α = 90.00°, β = 90.00°, γ = 90.00°
Space group Fd-3m (No. 227, origin choice 2)
One atom of each set of equivalent atoms:
Os 0.0000 0.0000 0.0000 (multiplicity 16)
Se 0.1250 0.1250 0.6250 (multiplicity 8)

Energies relative to the most stable structure are run w 1829; run x 0, reported in meV per atom.

Run w
First-principles (GGA-PBE) data for a geometry-optimized SmYSi2Os structure, as listed in OQMD via LeMat-Bulk.

Calculated values
* calculated volume: 20.428 Å³ per atom
* magnetic moment: 0.3 Bohr magnetons per cell

a = 10.9383 Å, b = 4.2444 Å, c = 10.1359 Å
α = 90.00°, β = 119.75°, γ = 90.00°
Space group C2/m (No. 12)
One atom of each set of equivalent atoms:
Sm 0.0124 0.0000 0.1808 (multiplicity 4)
Y 0.1821 0.0000 0.6092 (multiplicity 4)
Si 0.0006 0.5000 0.6249 (multiplicity 4)
Si 0.1506 0.5000 0.0625 (multiplicity 4)
Os 0.2273 0.5000 0.8732 (multiplicity 4)

Run x
First-principles (GGA-PBE) data for a geometry-optimized SmYSi2Os structure, as listed in OQMD via LeMat-Bulk.

Calculated values
* calculated volume: 20.287 Å³ per atom
* magnetic moment: 0.4 Bohr magnetons per cell

a = 10.7808 Å, b = 4.2451 Å, c = 10.1390 Å
α = 90.00°, β = 119.03°, γ = 90.00°
Space group C2/m (No. 12)
One atom of each set of equivalent atoms:
Sm 0.1881 0.0000 0.1110 (multiplicity 4)
Y 0.0069 0.0000 0.6770 (multiplicity 4)
Si 0.0006 0.5000 0.8727 (multiplicity 4)
Si 0.1458 0.5000 0.5596 (multiplicity 4)
Os 0.2297 0.5000 0.3748 (multiplicity 4)

Energies relative to the most stable structure are run w 9; run x 0, reported in meV per atom.

Run w
First-principles (GGA-PBE) data for a geometry-optimized Sm3Tm3Te2Os structure, as listed in OQMD via LeMat-Bulk.

Calculated values
* calculated volume: 27.391 Å³ per atom
* magnetic moment: 0.0 Bohr magnetons per cell

a = 8.3362 Å, b = 8.3362 Å, c = 4.0962 Å
α = 90.00°, β = 90.00°, γ = 120.00°
Space group P-62m (No. 189)
One atom of each set of equivalent atoms:
Sm 0.0000 0.3956 0.0000 (multiplicity 3)
Tm 0.0000 0.7669 0.5000 (multiplicity 3)
Te 0.3333 0.6667 0.5000 (multiplicity 2)
Os 0.0000 0.0000 0.0000 (multiplicity 1)

Run x
First-principles (GGA-PBE) data for a geometry-optimized Sm3Tm3Te2Os structure, as listed in OQMD via LeMat-Bulk.

Calculated values
* calculated volume: 27.309 Å³ per atom
* magnetic moment: 0.0 Bohr magnetons per cell

a = 8.3994 Å, b = 8.3994 Å, c = 4.0228 Å
α = 90.00°, β = 90.00°, γ = 120.00°
Space group P-62m (No. 189)
One atom of each set of equivalent atoms:
Sm 0.0000 0.7551 0.0000 (multiplicity 3)
Tm 0.0000 0.3902 0.5000 (multiplicity 3)
Te 0.3333 0.6667 0.0000 (multiplicity 2)
Os 0.0000 0.0000 0.5000 (multiplicity 1)

Energies relative to the most stable structure are run w 0; run x 141, reported in meV per atom.

Run w
First-principles (GGA-PBE) data for a geometry-optimized Sm3Y3Te2Os structure, as listed in OQMD via LeMat-Bulk.

Calculated values
* calculated volume: 27.768 Å³ per atom
* magnetic moment: 0.0 Bohr magnetons per cell

a = 8.3901 Å, b = 8.3901 Å, c = 4.0994 Å
α = 90.00°, β = 90.00°, γ = 120.00°
Space group P-62m (No. 189)
One atom of each set of equivalent atoms:
Sm 0.0000 0.6041 0.0000 (multiplicity 3)
Y 0.0000 0.2377 0.5000 (multiplicity 3)
Te 0.3333 0.6667 0.5000 (multiplicity 2)
Os 0.0000 0.0000 0.0000 (multiplicity 1)

Run x
First-principles (GGA-PBE) data for a geometry-optimized Sm3Y3Te2Os structure, as listed in OQMD via LeMat-Bulk.

Calculated values
* calculated volume: 27.703 Å³ per atom
* magnetic moment: 0.0 Bohr magnetons per cell

a = 8.4438 Å, b = 8.4438 Å, c = 4.0380 Å
α = 90.00°, β = 90.00°, γ = 120.00°
Space group P-62m (No. 189)
One atom of each set of equivalent atoms:
Sm 0.0000 0.2423 0.0000 (multiplicity 3)
Y 0.0000 0.6039 0.5000 (multiplicity 3)
Te 0.3333 0.6667 0.0000 (multiplicity 2)
Os 0.0000 0.0000 0.5000 (multiplicity 1)

Energies relative to the most stable structure are run w 0; run x 63, reported in meV per atom.